The following is a DFT calculation (PBE) of PtC2 after structural relaxation.

Cell: 3.5507 3.5507 15.3293 Å, 90.00 90.00 120.00°
Fractional coordinates of all 9 atoms:
Pt 0.0000 0.0000 0.0000
Pt 0.3333 0.6667 0.6667
Pt 0.6667 0.3333 0.3333
C 0.0000 0.0000 0.2887
C 0.0000 0.0000 0.3775
C 0.3333 0.6667 0.0442
C 0.3333 0.6667 0.9554
C 0.6667 0.3333 0.6220
C 0.6667 0.3333 0.7108

SG = R3m, No. 160
Excess energy over the best structure of this formula in the dataset = 461 kJ/mol of formula units
Crystal system = trigonal
Volume = 167.37 Å³ per cell
Formation energy from the elements = 1.914 eV per atom